No. 1
# YZrGe2 | Alexandria via LeMat-Bulk | PBE-GGA | relaxed
# * ΔE to the lowest computed polymorph: 0.8558 eV per atom
# * DFT total energy: -5.941 eV per atom
# * density of states at the Fermi level: 15.83 states/eV/cell
# * total magnetization: 0.00 μB/cell
# * energy of formation: 121 meV/atom
data_YZrGe2
_symmetry_space_group_name_H-M 'I -4 2 d'
_symmetry_Int_Tables_number 122
_symmetry_space_group_name_Hall 'I -4 2bw'
_cell_length_a 6.3787
_cell_length_b 6.3787
_cell_length_c 12.4716
_cell_angle_alpha 90.00
_cell_angle_beta 90.00
_cell_angle_gamma 90.00
loop_
_atom_site_label
_atom_site_fract_x
_atom_site_fract_y
_atom_site_fract_z
Y1 0.0000 0.0000 0.0000
Zr1 0.0000 0.0000 0.5000
Ge1 0.2208 0.2500 0.6250

No. 2
# Tc2TeC | Alexandria via LeMat-Bulk | PBE-GGA | relaxed
# * ΔE to the lowest computed polymorph: 0.0000 eV per atom
# * DFT total energy: -7.732 eV per atom
# * uncorrected formation energy: 0.542 eV per atom
# * density of states at the Fermi level: 20.10 states/eV/cell
# * total magnetization: 1.61 μB/cell
data_Tc2TeC
_symmetry_space_group_name_H-M 'I -4 2 d'
_symmetry_Int_Tables_number 122
_symmetry_space_group_name_Hall 'I -4 2bw'
_cell_length_a 5.3583
_cell_length_b 5.3583
_cell_length_c 9.8862
_cell_angle_alpha 90.00
_cell_angle_beta 90.00
_cell_angle_gamma 90.00
loop_
_atom_site_label
_atom_site_fract_x
_atom_site_fract_y
_atom_site_fract_z
Tc1 0.1448 0.2500 0.1250
Te1 0.0000 0.0000 0.5000
C1 0.0000 0.0000 0.0000